Li2La2CoO6: relaxed, PBE+U.

The total energy comes out at -216.55 eV/cell. The calculation puts the volume at 11.5 Å³/atom. The crystal system is trigonal.

The space group is R-3m (No. 166, hexagonal axes) and the conventional cell measures 5.5741, 5.5741 and 14.1367 Å, with angles of 90.00, 90.00 and 120.00 degrees. The asymmetric unit holds Li at (0.0000, 0.0000, 0.0730), La at (0.0000, 0.0000, 0.2762), Co at (0.0000, 0.0000, 0.5000) and O at (0.0296, 0.5148, 0.2501).

***

LiLaCoO4: relaxed, PBE+U.

The total energy comes out at -160.97 eV/cell. The calculation puts the volume at 17.5 Å³/atom. The crystal system is cubic.

The space group is F-43m (No. 216) and the conventional cell measures 7.8840, 7.8840 and 7.8840 Å, with angles of 90.00, 90.00 and 90.00 degrees. The asymmetric unit holds Li at (0.0000, 0.0000, 0.0000), La at (0.2500, 0.2500, 0.2500), Co at (0.2500, 0.2500, 0.7500) and O at (0.1232, 0.1232, 0.8768).

***

LiLa2Co2O6: relaxed, PBE+U.

The density of states at the Fermi level is 14.5 states/eV/cell. The total energy comes out at -217.21 eV/cell. The calculation puts the volume at 14.1 Å³/atom. The crystal system is trigonal.

The space group is R-3m (No. 166, hexagonal axes) and the conventional cell measures 5.7913, 5.7913 and 16.0171 Å, with angles of 90.00, 90.00 and 120.00 degrees. The asymmetric unit holds Li at (0.0000, 0.0000, 0.0000), La at (0.0000, 0.0000, 0.2026), Co at (0.0000, 0.0000, 0.4137) and O at (0.0227, 0.5113, 0.7592).